Record 1
A plane-wave DFT calculation with GGA-PBE was carried out for crystalline ZnTc2As at its relaxed geometry.

Lattice parameters (Å, degrees): 8.232 8.232 8.232 20.50 20.50 20.50
Sites, in units of the cell vectors:
Zn 0.000 0.000 0.000
Tc 0.245 0.245 0.245
Tc 0.755 0.755 0.755
As 0.500 0.500 0.500

Calculated values
Its symmetry is R-3m. The crystal system is trigonal. The electronic total energy comes out at -0.4805 Ry per atom. The value obtained for the theoretical density is 9.33 Mg/m³.



Record 2
A plane-wave DFT calculation with GGA-PBE was carried out for crystalline ZnTc2As at its relaxed geometry.

Lattice parameters (Å, degrees): 2.783 2.783 9.081 90.00 90.00 115.95
Sites, in units of the cell vectors:
Zn 0.000 0.000 0.000
Tc 0.000 0.000 0.525
Tc 0.500 0.500 0.757
As 0.500 0.500 0.280

Calculated values
Its symmetry is Cmm2. The crystal system is orthorhombic. The electronic total energy comes out at -0.4689 Ry per atom. The value obtained for the theoretical density is 8.83 Mg/m³.



Record 3
A plane-wave DFT calculation with GGA-PBE was carried out for crystalline Zn2Tc2As at its relaxed geometry.

Lattice parameters (Å, degrees): 6.251 6.251 4.112 90.00 90.00 90.00
Sites, in units of the cell vectors:
Zn 0.157 0.343 0.000
Zn 0.343 0.843 0.000
Zn 0.657 0.157 0.000
Zn 0.843 0.657 0.000
Tc 0.143 0.643 0.500
Tc 0.357 0.143 0.500
Tc 0.643 0.857 0.500
Tc 0.857 0.357 0.500
As 0.000 0.000 0.500
As 0.500 0.500 0.500

Calculated values
Its symmetry is P4/mbm. The crystal system is tetragonal. The electronic total energy comes out at -0.4071 Ry per atom. The value obtained for the theoretical density is 8.30 Mg/m³.



Record 4
A plane-wave DFT calculation with GGA-PBE was carried out for crystalline ZnTc2As at its relaxed geometry.

Lattice parameters (Å, degrees): 4.316 4.316 4.316 60.00 60.00 60.00
Sites, in units of the cell vectors:
Zn 0.000 0.000 0.000
Tc 0.250 0.250 0.250
Tc 0.750 0.750 0.750
As 0.500 0.500 0.500

Calculated values
Its symmetry is Fm-3m. The crystal system is cubic. The electronic total energy comes out at -0.4822 Ry per atom. The value obtained for the theoretical density is 9.82 Mg/m³.



Record 5
A plane-wave DFT calculation with GGA-PBE was carried out for crystalline Zn3TcAs at its relaxed geometry.

Lattice parameters (Å, degrees): 4.749 4.749 4.749 90.00 90.00 90.00
Sites, in units of the cell vectors:
Zn 0.000 0.000 0.500
Zn 0.000 0.500 0.000
Zn 0.500 0.000 0.000
Tc 0.500 0.500 0.500
As 0.000 0.000 0.000

Calculated values
Its symmetry is Pm-3m. The crystal system is cubic. The electronic total energy comes out at -0.1958 Ry per atom. The value obtained for the theoretical density is 5.72 Mg/m³.



Record 6
A plane-wave DFT calculation with GGA-PBE was carried out for crystalline ZnTc2As at its relaxed geometry.

Lattice parameters (Å, degrees): 4.394 4.394 4.967 103.06 103.06 39.93
Sites, in units of the cell vectors:
Zn 0.000 0.000 0.000
Tc 0.236 0.236 0.734
Tc 0.764 0.764 0.266
As 0.500 0.500 0.500

Calculated values
Its symmetry is C2/m. The crystal system is monoclinic. The electronic total energy comes out at -0.4790 Ry per atom. The value obtained for the theoretical density is 9.35 Mg/m³.



Record 7
A plane-wave DFT calculation with GGA-PBE was carried out for crystalline ZnTc2As2 at its relaxed geometry.

Lattice parameters (Å, degrees): 7.078 7.078 3.119 90.00 90.00 90.00
Sites, in units of the cell vectors:
Zn 0.000 0.000 0.000
Zn 0.500 0.500 0.000
Tc 0.147 0.353 0.000
Tc 0.353 0.853 0.000
Tc 0.647 0.147 0.000
Tc 0.853 0.647 0.000
As 0.148 0.648 0.500
As 0.352 0.148 0.500
As 0.648 0.852 0.500
As 0.852 0.352 0.500

Calculated values
Its symmetry is P4/mbm. The crystal system is tetragonal. The electronic total energy comes out at -0.4602 Ry per atom. The value obtained for the theoretical density is 8.74 Mg/m³.



Record 8
A plane-wave DFT calculation with GGA-PBE was carried out for crystalline ZnTc2As at its relaxed geometry.

Lattice parameters (Å, degrees): 3.043 3.043 6.249 90.00 90.00 90.00
Sites, in units of the cell vectors:
Zn 0.000 0.000 0.000
Tc 0.500 0.500 0.268
Tc 0.500 0.500 0.732
As 0.000 0.000 0.500

Calculated values
Its symmetry is P4/mmm. The crystal system is tetragonal. The electronic total energy comes out at -0.4827 Ry per atom. The value obtained for the theoretical density is 9.65 Mg/m³.



Calculated values (μB/f.u.) of M_tot for the records, taken in order: 0.000 0.001 0.000 0.000 3.251 0.000 0.000 0.000.